[1]
The following is a DFT calculation (GGA-PBE) of a relaxed structure of Rb2GePt.

The space group is Cm (No. 8) and the conventional cell measures 7.4804, 4.3050 and 10.3686 Å, with angles of 90.00, 103.91 and 90.00 degrees. Symmetry generates all atoms from Rb at (0.0000, 0.0000, 0.0000), Rb at (0.1728, 0.0000, 0.5179), Ge at (0.2532, 0.5000, 0.2592) and Pt at (0.4201, 0.0000, 0.2589).

The value obtained for the formation energy is -0.2407 eV/atom.

---

[2]
The following is a DFT calculation (GGA-PBE) of a relaxed structure of BeCr2Te.

The space group is F-43m (No. 216) and the conventional cell measures 6.1093, 6.1093 and 6.1093 Å, with angles of 90.00, 90.00 and 90.00 degrees. Symmetry generates all atoms from Be at (0.0000, 0.0000, 0.0000), Cr at (0.0000, 0.0000, 0.5000), Cr at (0.2500, 0.2500, 0.2500) and Te at (0.2500, 0.2500, 0.7500).

The calculation puts the formation energy without anion corrections at 0.55 eV/atom. For the energy relative to the lowest polymorph listed for this composition, the calculation gives 0.901 eV/f.u.

---

[3]
The following is a DFT calculation (GGA-PBE) of a relaxed structure of BeTlCl.

The space group is F-43m (No. 216) and the conventional cell measures 6.7851, 6.7851 and 6.7851 Å, with angles of 90.00, 90.00 and 90.00 degrees. Symmetry generates all atoms from Be at (0.0000, 0.0000, 0.0000), Tl at (0.2500, 0.2500, 0.7500) and Cl at (0.2500, 0.2500, 0.2500).

The calculation puts the formation energy without anion corrections at 0.38 eV/atom. For the energy relative to the lowest polymorph listed for this composition, the calculation gives 1.566 eV/f.u.

---

[4]
The following is a DFT calculation (GGA-PBE) of a relaxed structure of Ce5Sc3H12.

The space group is Ia-3d (No. 230) and the conventional cell measures 12.8385, 12.8385 and 12.8385 Å, with angles of 90.00, 90.00 and 90.00 degrees. Symmetry generates all atoms from Ce at (0.0000, 0.0000, 0.0000), Ce at (0.0000, 0.2500, 0.3750), Sc at (0.0000, 0.2500, 0.1250) and H at (0.0072, 0.0726, 0.1596).

Its final energy is -4.77 eV/atom.

---

[5]
The following is a DFT calculation (GGA-PBE) of a relaxed structure of Ba6Na3Pd2Rh.

The space group is C2/m (No. 12) and the conventional cell measures 7.8282, 13.5811 and 10.6058 Å, with angles of 90.00, 104.66 and 90.00 degrees. Symmetry generates all atoms from Ba at (0.2199, 0.1621, 0.1695), Ba at (0.2350, 0.5000, 0.1724), Na at (0.0000, 0.1766, 0.5000), Na at (0.0000, 0.5000, 0.5000), Pd at (0.0000, 0.3343, 0.0000) and Rh at (0.0000, 0.0000, 0.0000).

The value obtained for the formation energy is -0.2335 eV/atom.

---

[6]
The following is a DFT calculation (GGA-PBE) of a relaxed structure of Pa2InCo2S6.

The space group is P-1 (No. 2) and the conventional cell measures 7.0021, 7.0767 and 7.1382 Å, with angles of 64.23, 63.89 and 61.41 degrees. Symmetry generates all atoms from Pa at (0.1711, 0.4939, 0.1736), In at (0.5000, 0.5000, 0.5000), Co at (0.1629, 0.9482, 0.8595), S at (0.0508, 0.7381, 0.8057), S at (0.1983, 0.2470, 0.5827) and S at (0.4186, 0.7523, 0.0419).

The calculation puts the formation energy without anion corrections at -0.94 eV/atom.

---

[7]
The following is a DFT calculation (GGA-PBE) of a relaxed structure of PmCdPt2.

The space group is Amm2 (No. 38) and the conventional cell measures 3.3649, 6.9991 and 7.6285 Å, with angles of 90.00, 90.00 and 90.00 degrees. Symmetry generates all atoms from Pm at (0.0000, 0.0000, 0.0000), Cd at (0.5000, 0.0000, 0.4117) and Pt at (0.5000, 0.1965, 0.7113).

The value obtained for the formation energy is -0.5437 eV/atom. For the energy relative to the lowest polymorph listed for this composition, the calculation gives 1.012 eV/f.u.

---

[8]
The following is a DFT calculation (GGA-PBE) of a relaxed structure of CdFeCu2.

The space group is P4/mmm (No. 123) and the conventional cell measures 3.8852, 3.8852 and 3.7697 Å, with angles of 90.00, 90.00 and 90.00 degrees. Symmetry generates all atoms from Cd at (0.0000, 0.0000, 0.0000), Fe at (0.5000, 0.5000, 0.0000) and Cu at (0.0000, 0.5000, 0.5000).

The value obtained for the formation energy is 0.2777 eV/atom.

---

[9]
The following is a DFT calculation (GGA-PBE) of a relaxed structure of HgPb2S.

The space group is P4/mmm (No. 123) and the conventional cell measures 3.7738, 3.7738 and 7.4347 Å, with angles of 90.00, 90.00 and 90.00 degrees. Symmetry generates all atoms from Hg at (0.0000, 0.0000, 0.0000), Pb at (0.5000, 0.5000, 0.2785) and S at (0.0000, 0.0000, 0.5000).

The calculation puts the formation energy without anion corrections at -0.07 eV/atom. For the energy relative to the lowest polymorph listed for this composition, the calculation gives 0.302 eV/f.u.

---

[10]
The following is a DFT calculation (GGA-PBE) of a relaxed structure of YZr2Os.

The space group is P4/mmm (No. 123) and the conventional cell measures 4.1853, 4.1853 and 4.8862 Å, with angles of 90.00, 90.00 and 90.00 degrees. Symmetry generates all atoms from Y at (0.0000, 0.0000, 0.0000), Zr at (0.0000, 0.5000, 0.5000) and Os at (0.5000, 0.5000, 0.0000).

The value obtained for the formation energy is 0.1331 eV/atom. For the energy relative to the lowest polymorph listed for this composition, the calculation gives 1.410 eV/f.u.

---

[11]
The following is a DFT calculation (GGA-PBE) of a relaxed structure of KTlOsBr6.

The space group is P312 (No. 149) and the conventional cell measures 7.4551, 7.4551 and 6.7407 Å, with angles of 90.00, 90.00 and 120.00 degrees. Symmetry generates all atoms from K at (0.0000, 0.0000, 0.0000), Tl at (0.3333, 0.6667, 0.5000), Os at (0.6667, 0.3333, 0.5000) and Br at (0.3932, 0.0563, 0.7130).

The calculation puts the formation energy without anion corrections at -0.62 eV/atom.

---

[12]
The following is a DFT calculation (GGA-PBE) of a relaxed structure of SrCrCd4.

The space group is F-43m (No. 216) and the conventional cell measures 8.3445, 8.3445 and 8.3445 Å, with angles of 90.00, 90.00 and 90.00 degrees. Symmetry generates all atoms from Sr at (0.0000, 0.0000, 0.0000), Cr at (0.2500, 0.2500, 0.2500) and Cd at (0.1242, 0.1242, 0.6242).

The value obtained for the formation energy is 0.0630 eV/atom.

---

[13]
The following is a DFT calculation (GGA-PBE) of a relaxed structure of Rb3Tb2PaSe6.

The space group is C2/m (No. 12) and the conventional cell measures 7.3584, 12.7438 and 8.4028 Å, with angles of 90.00, 106.97 and 90.00 degrees. Symmetry generates all atoms from Rb at (0.0000, 0.0000, 0.0000), Rb at (0.0000, 0.3324, 0.0000), Tb at (0.0000, 0.1665, 0.5000), Pa at (0.0000, 0.5000, 0.5000), Se at (0.2318, 0.3341, 0.6981) and Se at (0.2345, 0.0000, 0.6984).

The calculation puts the formation energy without anion corrections at -1.57 eV/atom.

---

[14]
The following is a DFT calculation (GGA-PBE) of a relaxed structure of TaAl3Ni2.

The space group is P4/mmm (No. 123) and the conventional cell measures 2.8658, 2.8658 and 9.9494 Å, with angles of 90.00, 90.00 and 90.00 degrees. Symmetry generates all atoms from Ta at (0.0000, 0.0000, 0.0000), Al at (0.5000, 0.5000, 0.2059), Al at (0.5000, 0.5000, 0.5000) and Ni at (0.0000, 0.0000, 0.3520).

The value obtained for the formation energy is -0.5308 eV/atom.

---

[15]
The following is a DFT calculation (GGA-PBE) of a relaxed structure of LaCeAu2.

The space group is R3m (No. 160, hexagonal axes) and the conventional cell measures 4.2299, 4.2299 and 22.8802 Å, with angles of 90.00, 90.00 and 120.00 degrees. Symmetry generates all atoms from La at (0.0000, 0.0000, 0.0000), Ce at (0.0000, 0.0000, 0.1707), Au at (0.0000, 0.0000, 0.5833) and Au at (0.0000, 0.0000, 0.7545).

The value obtained for the formation energy is -0.5850 eV/atom. For the energy relative to the lowest polymorph listed for this composition, the calculation gives 0.532 eV/f.u.

---

[16]
The following is a DFT calculation (GGA-PBE) of a relaxed structure of Pa2TiNi3Ge4.

The space group is P-4m2 (No. 115) and the conventional cell measures 4.0754, 4.0754 and 10.1679 Å, with angles of 90.00, 90.00 and 90.00 degrees. Symmetry generates all atoms from Pa at (0.0000, 0.5000, 0.2387), Ti at (0.0000, 0.0000, 0.5000), Ni at (0.0000, 0.5000, 0.8793), Ni at (0.5000, 0.5000, 0.5000), Ge at (0.0000, 0.0000, 0.0000), Ge at (0.0000, 0.5000, 0.6495) and Ge at (0.5000, 0.5000, 0.0000).

The value obtained for the formation energy is -0.5543 eV/atom.

---

[17]
The following is a DFT calculation (GGA-PBE) of a relaxed structure of ZrHgAs2.

The space group is P4mm (No. 99) and the conventional cell measures 2.9829, 2.9829 and 10.2193 Å, with angles of 90.00, 90.00 and 90.00 degrees. Symmetry generates all atoms from Zr at (0.0000, 0.0000, 0.0000), Hg at (0.5000, 0.5000, 0.7734), As at (0.0000, 0.0000, 0.5533) and As at (0.5000, 0.5000, 0.2031).

The value obtained for the formation energy is -0.0158 eV/atom.

---

[18]
The following is a DFT calculation (GGA-PBE) of a relaxed structure of BeVAu.

The space group is Imma (No. 74) and the conventional cell measures 4.7286, 5.2730 and 6.5400 Å, with angles of 90.00, 90.00 and 90.00 degrees. Symmetry generates all atoms from Be at (0.2500, 0.2500, 0.2500), V at (0.0000, 0.2500, 0.6136) and Au at (0.0000, 0.0000, 0.0000).

The value obtained for the formation energy is 0.0800 eV/atom. For the energy relative to the lowest polymorph listed for this composition, the calculation gives 0.506 eV/f.u.

---

no.,magnetization (μB per atom),DOS at the Fermi energy (states/eV/atom),mass density (g/cm³)
1,0.0000,0.888,4.5
2,0.3399,0.833,7.0
3,0.0000,0.183,5.3
4,0.1922,1.196,5.3
5,0.0000,0.605,3.7
6,0.2701,0.718,5.5
7,0.0000,0.595,12.0
8,0.5992,1.170,8.6
9,0.0000,0.388,10.1
10,0.0000,1.122,9.0
11,0.0000,0.642,4.7
12,0.6756,0.444,6.7
13,0.1492,0.614,5.6
14,0.0000,0.208,7.7
15,0.2799,2.490,9.5
16,0.1513,0.896,9.6
17,0.0000,0.446,8.1
18,0.2958,1.014,10.5